[1]
## NaLaB2 (PBE)

Data for NaLaB2 after structural relaxation.

Computed properties:
**Uncorrected energy**: -4.095 eV/atom
**Mass density**: 4342 kg/m³
**Space-group type**: Fm-3m, No. 225

a = 4.630 Å, b = 4.630 Å, c = 4.630 Å
α = 60.00°, β = 60.00°, γ = 60.00°
Positions (direct):
1 Na 0.000 0.000 0.000
2 La 0.500 0.500 0.500
3 B 0.250 0.250 0.250
4 B 0.750 0.750 0.750

---

[2]
## NaLa3B2O8 (PBE)

Data for NaLa3B2O8 after structural relaxation.

Computed properties:
**Formation energy from raw total energies**: -2.928 eV per atom
**Mass density**: 5925 kg/m³
**Space-group type**: P-3m1, No. 164

a = 5.315 Å, b = 5.315 Å, c = 6.750 Å
α = 90.00°, β = 90.00°, γ = 120.00°
Positions (direct):
1 Na 0.000 0.000 0.000
2 La 0.000 0.000 0.500
3 La 0.333 0.667 0.165
4 La 0.667 0.333 0.835
5 B 0.333 0.667 0.709
6 B 0.667 0.333 0.291
7 O 0.182 0.365 0.790
8 O 0.182 0.818 0.790
9 O 0.333 0.667 0.490
10 O 0.365 0.182 0.210
11 O 0.635 0.818 0.790
12 O 0.667 0.333 0.510
13 O 0.818 0.182 0.210
14 O 0.818 0.635 0.210

---

[3]
## Na3La9B8O27 (PBE)

Data for Na3La9B8O27 after structural relaxation.

Computed properties:
**Formation energy from raw total energies**: -2.989 eV per atom
**Mass density**: 5032 kg/m³
**Space-group type**: P-62m, No. 189

a = 8.949 Å, b = 8.949 Å, c = 8.743 Å
α = 90.00°, β = 90.00°, γ = 120.00°
Positions (direct):
1 Na 0.000 0.668 0.000
2 Na 0.332 0.332 0.000
3 Na 0.668 0.000 0.000
4 La 0.000 0.349 0.234
5 La 0.000 0.349 0.766
6 La 0.000 0.717 0.500
7 La 0.283 0.283 0.500
8 La 0.349 0.000 0.234
9 La 0.349 0.000 0.766
10 La 0.651 0.651 0.234
11 La 0.651 0.651 0.766
12 La 0.717 0.000 0.500
13 B 0.000 0.000 0.210
14 B 0.000 0.000 0.790
15 B 0.333 0.667 0.000
16 B 0.333 0.667 0.324
17 B 0.333 0.667 0.676
18 B 0.667 0.333 0.000
19 B 0.667 0.333 0.324
20 B 0.667 0.333 0.676
21 O 0.000 0.257 0.500
22 O 0.000 0.845 0.212
23 O 0.000 0.845 0.788
24 O 0.155 0.155 0.212
25 O 0.155 0.155 0.788
26 O 0.179 0.666 0.318
27 O 0.179 0.666 0.682
28 O 0.183 0.505 0.000
29 O 0.257 0.000 0.500
30 O 0.322 0.817 0.000
31 O 0.334 0.513 0.318
32 O 0.334 0.513 0.682
33 O 0.487 0.821 0.318
34 O 0.487 0.821 0.682
35 O 0.495 0.678 0.000
36 O 0.505 0.183 0.000
37 O 0.513 0.334 0.318
38 O 0.513 0.334 0.682
39 O 0.666 0.179 0.318
40 O 0.666 0.179 0.682
41 O 0.678 0.495 0.000
42 O 0.743 0.743 0.500
43 O 0.817 0.322 0.000
44 O 0.821 0.487 0.318
45 O 0.821 0.487 0.682
46 O 0.845 0.000 0.212
47 O 0.845 0.000 0.788